This record from Alexandria describes crystalline DyCdNiAu at its relaxed geometry. The functional is PBE.

Cell lengths 4.790, 4.790, 4.790 Å; angles 60.00, 60.00, 60.00 degrees
Atoms (fractional coordinates):
Au: 0.250 0.250 0.250
Cd: 0.000 0.000 0.000
Dy: 0.500 0.500 0.500
Ni: 0.750 0.750 0.750

## Properties
Final energy   -4.05 eV per atom
ρ   11.34 g cm⁻³
E_form   -0.405 eV/atom
Spin magnetization   0.000 μB/f.u.

***

This record from Alexandria describes crystalline DyCdAuO4 at its relaxed geometry. The functional is PBE.

Cell lengths 6.437, 6.926, 6.818 Å; angles 119.48, 90.00, 117.69 degrees
Atoms (fractional coordinates):
O: 0.269 0.537 0.327
O: 0.731 0.463 0.673
Dy: 0.500 0.000 0.000
O: 0.757 0.085 0.793
Cd: 0.859 0.717 0.109
Au: 0.500 0.500 0.500
O: 0.731 0.463 0.290
Dy: 0.500 0.000 0.500
Cd: 0.141 0.283 0.891
Au: 0.000 0.500 0.500
O: 0.328 0.085 0.793
O: 0.243 0.915 0.207
O: 0.269 0.537 0.710
O: 0.672 0.915 0.207

## Properties
Final energy   -5.57 eV per atom
Raw formation energy   -1.4794 eV/atom
ρ   7.95 g cm⁻³
Spin magnetization   0.000 μB/f.u.

***

This record from Alexandria describes crystalline DyCdPbAu at its relaxed geometry. The functional is PBE.

Cell lengths 5.135, 5.135, 5.135 Å; angles 60.00, 60.00, 60.00 degrees
Atoms (fractional coordinates):
Dy: 0.250 0.250 0.250
Au: 0.500 0.500 0.500
Cd: 0.750 0.750 0.750
Pb: 0.000 0.000 0.000

## Properties
Final energy   -3.52 eV per atom
ρ   11.78 g cm⁻³
E_form   -0.394 eV/atom
Spin magnetization   0.000 μB/f.u.

***

Repeat the third record exactly.
This record from Alexandria describes crystalline DyCdPbAu at its relaxed geometry. The functional is PBE.

Cell lengths 5.135, 5.135, 5.135 Å; angles 60.00, 60.00, 60.00 degrees
Atoms (fractional coordinates):
Dy: 0.250 0.250 0.250
Au: 0.500 0.500 0.500
Cd: 0.750 0.750 0.750
Pb: 0.000 0.000 0.000

## Properties
Final energy   -3.52 eV per atom
ρ   11.78 g cm⁻³
E_form   -0.394 eV/atom
Spin magnetization   0.000 μB/f.u.